{"formula": "Rb2DyCoF6", "functional": "GGA+U", "state": "optimized geometry", "lattice_angstrom": [[-6.142, -0.578, 1.175], [1.292, -3.329, 5.164], [-2.322, 1.784, 5.556]], "species": ["Rb", "Rb", "Dy", "Co", "F", "F", "F", "F", "F", "F"], "fractional_positions": [[0.750, 0.250, 0.500], [0.250, 0.750, 0.500], [0.500, 0.500, 0.000], [0.000, 0.000, 0.000], [0.254, 0.254, 0.491], [0.746, 0.745, 0.000], [0.255, 0.746, 0.000], [0.745, 0.254, 0.000], [0.254, 0.255, 0.000], [0.746, 0.746, 0.509]], "dft_energy_ev_per_atom": -5.2202}